Record 1
Below is a crystal of Hg2OsPt relaxed with PBEsol, with properties calculated at the meta-GGA SCAN level.

Values from the calculation:
Its crystal system is orthorhombic. For the magnetic moment, the calculation gives 0.0 μB/f.u. Its uncorrected energy is -68.949 eV per atom. For the formation enthalpy at 0 K, the calculation gives 652 meV per atom. The calculation puts the energy relative to the lowest polymorph listed for this composition at 0.57 eV per formula unit.

abc: 2.852 2.852 9.585
angles: 90.00 90.00 119.00
Fractional positions:
Hg: 0.000 0.000 0.249
Hg: 0.000 0.000 0.751
Os: 0.500 0.500 0.000
Pt: 0.500 0.500 0.500

***

Record 2
Below is a crystal of Hg2OsPt relaxed with PBEsol, with properties calculated at the meta-GGA SCAN level.

Values from the calculation:
Its crystal system is tetragonal. For the magnetic moment, the calculation gives 1.1 μB/f.u. Its uncorrected energy is -68.780 eV per atom. For the formation enthalpy at 0 K, the calculation gives 821 meV per atom. The calculation puts the energy relative to the lowest polymorph listed for this composition at 1.25 eV per formula unit.

abc: 4.895 4.895 4.895
angles: 129.57 129.57 74.10
Fractional positions:
Hg: 0.000 0.000 0.000
Hg: 0.750 0.250 0.500
Os: 0.500 0.500 0.000
Pt: 0.250 0.750 0.500

***

Record 3
Below is a crystal of Hg2OsPt relaxed with PBEsol, with properties calculated at the meta-GGA SCAN level.

Values from the calculation:
Its crystal system is trigonal. For the magnetic moment, the calculation gives 0.0 μB/f.u. Its uncorrected energy is -69.093 eV per atom. For the formation enthalpy at 0 K, the calculation gives 508 meV per atom. The calculation puts the energy relative to the lowest polymorph listed for this composition at 0.00 eV per formula unit.

abc: 9.686 9.686 9.686
angles: 17.15 17.15 17.15
Fractional positions:
Hg: 0.000 0.000 0.000
Hg: 0.239 0.239 0.239
Os: 0.489 0.489 0.489
Pt: 0.751 0.751 0.751

***

Record 4
Below is a crystal of HgOsPt2 relaxed with PBEsol, with properties calculated at the meta-GGA SCAN level.

Values from the calculation:
Its crystal system is orthorhombic. For the magnetic moment, the calculation gives 0.0 μB/f.u. Its uncorrected energy is -69.750 eV per atom. For the formation enthalpy at 0 K, the calculation gives 358 meV per atom.

abc: 2.787 3.923 5.786
angles: 90.00 90.00 90.00
Fractional positions:
Hg: 0.000 0.000 0.000
Os: 0.000 0.000 0.500
Pt: 0.500 0.500 0.272
Pt: 0.500 0.500 0.728

***

Record 5
Below is a crystal of HgOsPt relaxed with PBEsol, with properties calculated at the meta-GGA SCAN level.

Values from the calculation:
Its crystal system is cubic. For the magnetic moment, the calculation gives 2.0 μB/f.u. Its uncorrected energy is -69.196 eV per atom. For the formation enthalpy at 0 K, the calculation gives 883 meV per atom.

abc: 4.324 4.324 4.324
angles: 60.00 60.00 60.00
Fractional positions:
Hg: 0.000 0.000 0.000
Os: 0.500 0.500 0.500
Pt: 0.250 0.250 0.250

***

Record 6
Below is a crystal of HgOsPt2 relaxed with PBEsol, with properties calculated at the meta-GGA SCAN level.

Values from the calculation:
Its crystal system is tetragonal. For the magnetic moment, the calculation gives 0.0 μB/f.u. Its uncorrected energy is -69.755 eV per atom. For the formation enthalpy at 0 K, the calculation gives 353 meV per atom.

abc: 2.807 2.807 8.038
angles: 90.00 90.00 90.00
Fractional positions:
Hg: 0.000 0.000 0.000
Os: 0.500 0.500 0.270
Pt: 0.000 0.000 0.486
Pt: 0.500 0.500 0.731